# 1
Compound: SbPF2
Source: the Alexandria database
Functional: meta-GGA SCAN
Structure: PBEsol geometry

```
4
Lattice="2.9669 0.0000 0.0000 1.4834 2.5694 0.0000 1.4834 0.8565 8.6641" Properties=species:S:1:pos:R:3 pbc="T T T"
Sb 2.9669 1.7129 4.3321
P 0.0000 0.0000 0.0000
F 4.4503 2.5694 1.7242
F 1.4834 0.8565 6.9399
```

The space group is R-3m (166). The total energy comes out at -58.717 eV/cell. The value obtained for the density of states at the Fermi level is 0.8 states/eV per cell. Its volume is 16.5 Å³/atom. As for the magnetization: 0.0000 μB per atom.

=====

# 2
Compound: SrTeHW2
Source: the Alexandria database
Functional: meta-GGA SCAN
Structure: PBEsol geometry

```
5
Lattice="-2.7051 -2.9468 -2.8020 3.5117 -3.3897 0.1745 -2.6471 -2.4767 5.1602" Properties=species:S:1:pos:R:3 pbc="T T T"
Sr -1.3235 -1.2383 2.5801
Te 0.0000 0.0000 0.0000
W 1.7558 -1.6948 0.0873
W -1.3526 -1.4734 -1.4010
H -0.9203 -4.4066 1.2664
```

The space group is P4/mmm (123). The total energy comes out at -191.194 eV/cell. The value obtained for the density of states at the Fermi level is 3.6 states/eV per cell. Its volume is 30.1 Å³/atom. As for the magnetization: 0.5543 μB per atom.

=====

# 3
Compound: Cs2TmCuCl6
Source: the Alexandria database
Functional: meta-GGA SCAN
Structure: PBEsol geometry

```
10
Lattice="-0.9712 -3.7650 -6.0662 5.2943 -4.1804 -2.5323 -0.6297 -7.1726 0.2733" Properties=species:S:1:pos:R:3 pbc="T T T"
Cs 2.7700 -11.3385 -6.2439
Cs 0.9233 -3.7795 -2.0813
Tm 0.0000 0.0000 0.0000
Cu 1.8467 -7.5590 -4.1626
Cl 0.4562 -5.6870 -5.1019
Cl 3.0686 -7.7497 -6.3514
Cl 3.2371 -9.4311 -3.2233
Cl 0.1455 -9.2261 -4.9671
Cl 3.5478 -5.8919 -3.3582
Cl 0.6248 -7.3684 -1.9738
```

The space group is Fm-3m (225). The total energy comes out at -210.958 eV/cell. The value obtained for the density of states at the Fermi level is 0.0 states/eV per cell. Its volume is 26.5 Å³/atom. As for the magnetization: 0.0074 μB per atom.

=====

# 4
Compound: SiSe5
Source: the Alexandria database
Functional: meta-GGA SCAN
Structure: PBEsol geometry

```
6
Lattice="-1.3909 -5.2162 1.3535 3.9575 -3.6767 1.3400 0.5144 -1.7412 5.2611" Properties=species:S:1:pos:R:3 pbc="T T T"
Se 0.7702 -2.6585 1.9887
Se -0.0365 -4.8133 4.2982
Se 1.6670 -5.7709 2.3582
Se 1.9216 -6.6324 4.9612
Se 2.6097 -4.0516 4.2916
Si 0.0000 0.0000 0.0000
```

The space group is F-43m (216). The total energy comes out at -104.495 eV/cell. The value obtained for the density of states at the Fermi level is 6.6 states/eV per cell. Its volume is 20.3 Å³/atom. As for the magnetization: 0.0005 μB per atom.

=====

# 5
Compound: Sr2PH4F13
Source: the Alexandria database
Functional: meta-GGA SCAN
Structure: PBEsol geometry

```
80
Lattice="7.3520 0.0000 0.0000 0.0000 7.3520 0.0000 0.0000 0.0000 17.9075" Properties=species:S:1:pos:R:3 pbc="T T T"
F 3.6760 3.6320 0.0000
F 3.6760 3.7201 8.9537
F 3.7201 3.6760 4.4769
F 3.6320 3.6760 13.4306
F 6.8794 2.1527 1.2918
F 0.4727 5.1993 10.2455
F 5.1993 6.8794 5.7686
F 2.1527 0.4727 14.7224
F 0.4727 2.1527 16.6157
F 6.8794 5.1993 7.6620
F 2.1527 6.8794 12.1388
F 5.1993 0.4727 3.1851
F 4.1778 1.2057 1.2770
F 3.1742 6.1464 10.2308
F 6.1464 4.1778 5.7539
F 1.2057 3.1742 14.7077
F 3.1742 1.2057 16.6305
F 4.1778 6.1464 7.6767
F 1.2057 4.1778 12.1536
F 6.1464 3.1742 3.1998
F 2.1779 3.2678 2.7297
F 5.1741 4.0842 11.6834
F 4.0842 2.1779 7.2066
F 3.2678 5.1741 16.1603
F 5.1741 3.2678 15.1778
F 2.1779 4.0842 6.2241
F 3.2678 2.1779 10.7009
F 4.0842 5.1741 1.7472
F 1.1147 4.5501 0.2940
F 6.2374 2.8019 9.2478
F 2.8019 1.1147 4.7709
F 4.5501 6.2374 13.7246
F 6.2374 4.5501 17.6135
F 1.1147 2.8019 8.6597
F 4.5501 1.1147 13.1366
F 2.8019 6.2374 4.1829
F 6.9456 5.6983 1.5778
F 0.4065 1.6538 10.5316
F 1.6538 6.9456 6.0547
F 5.6983 0.4065 15.0084
F 0.4065 5.6983 16.3297
F 6.9456 1.6538 7.3759
F 5.6983 6.9456 11.8528
F 1.6538 0.4065 2.8990
F 1.1144 6.8498 0.2813
F 6.2376 0.5023 9.2351
F 0.5023 1.1144 4.7582
F 6.8498 6.2376 13.7119
F 6.2376 6.8498 17.6262
F 1.1144 0.5023 8.6724
F 6.8498 1.1144 13.1493
F 0.5023 6.2376 4.1955
H 2.8490 3.4394 3.4748
H 4.5030 3.9126 12.4286
H 3.9126 2.8490 7.9517
H 3.4394 4.5030 16.9054
H 4.5030 3.4394 14.4327
H 2.8490 3.9126 5.4789
H 3.4394 2.8490 9.9558
H 3.9126 4.5030 1.0020
H 4.6814 0.8321 2.2099
H 2.6706 6.5199 11.1637
H 6.5199 4.6814 6.6868
H 0.8321 2.6706 15.6406
H 2.6706 0.8321 15.6975
H 4.6814 6.5199 6.7438
H 0.8321 4.6814 11.2207
H 6.5199 2.6706 2.2669
P 0.0000 5.6876 0.0000
P 0.0000 1.6645 8.9537
P 1.6645 0.0000 4.4769
P 5.6876 0.0000 13.4306
Sr 1.8886 1.9304 0.7364
Sr 5.4634 5.4217 9.6902
Sr 5.4217 1.8886 5.2133
Sr 1.9304 5.4634 14.1670
Sr 5.4634 1.9304 17.1711
Sr 1.8886 5.4217 8.2173
Sr 1.9304 1.8886 12.6942
Sr 5.4217 5.4634 3.7404
```

The space group is P4_122 (91). The total energy comes out at -681.262 eV/cell. The value obtained for the density of states at the Fermi level is 0.0 states/eV per cell. Its volume is 12.1 Å³/atom. As for the magnetization: 0.0134 μB per atom.

=====

# 6
Compound: K2NaIrF6
Source: the Alexandria database
Functional: meta-GGA SCAN
Structure: PBEsol geometry

```
10
Lattice="5.9332 0.0000 0.0000 2.9666 5.1383 0.0000 2.9666 1.7128 4.8445" Properties=species:S:1:pos:R:3 pbc="T T T"
Na 5.9332 3.4256 2.4222
K 2.9666 1.7128 1.2111
K 8.8998 5.1383 3.6333
Ir 0.0000 0.0000 0.0000
F 4.3854 4.3192 1.1584
F 4.3854 2.5319 3.6861
F 7.4811 4.3192 1.1584
F 5.9332 5.2129 3.6861
F 7.4811 2.5319 3.6861
F 5.9332 1.6382 1.1584
```

The space group is Fm-3m (225). The total energy comes out at -138.027 eV/cell. The value obtained for the density of states at the Fermi level is 0.0 states/eV per cell. Its volume is 14.8 Å³/atom. As for the magnetization: 0.0154 μB per atom.

=====

# 7
Compound: MgCuAsBr2
Source: the Alexandria database
Functional: meta-GGA SCAN
Structure: PBEsol geometry

```
5
Lattice="-0.4028 2.7685 4.0127 -1.0358 -3.9626 2.6300 4.7390 -0.6331 0.9125" Properties=species:S:1:pos:R:3 pbc="T T T"
Mg 1.6502 -0.9136 3.7776
As -0.2014 1.3843 2.0063
Cu 0.0000 0.0000 0.0000
Br 2.3695 -0.3165 0.4563
Br -0.5179 -1.9813 1.3150
```

The space group is P4/mmm (123). The total energy comes out at -78.890 eV/cell. The value obtained for the density of states at the Fermi level is 2.6 states/eV per cell. Its volume is 23.2 Å³/atom. As for the magnetization: 0.1826 μB per atom.

=====

# 8
Compound: LaYRe2
Source: the Alexandria database
Functional: meta-GGA SCAN
Structure: PBEsol geometry

```
4
Lattice="-2.0429 1.3421 -2.1102 -0.1696 -1.1251 -3.0221 -7.1521 -5.7295 0.8093" Properties=species:S:1:pos:R:3 pbc="T T T"
La -4.6823 -2.7563 -2.1615
Re -2.3354 -1.3730 -1.0830
Re -7.0292 -4.1396 -3.2400
Y 0.0000 0.0000 0.0000
```

The space group is R-3m (166). The value obtained for the density of states at the Fermi level is 4.5 states/eV per cell. The value obtained for the formation energy is 0.850 eV/atom. Its volume is 20.3 Å³/atom. As for the magnetization: 0.0000 μB per atom.

=====

# 9
Compound: LiI
Source: the Alexandria database
Functional: meta-GGA SCAN
Structure: PBEsol geometry

```
4
Lattice="-2.6188 -2.3980 2.1515 1.2769 -1.1824 -3.7695 5.3137 -3.2682 2.8251" Properties=species:S:1:pos:R:3 pbc="T T T"
I 3.9636 -4.0387 0.3230
I 0.0082 -2.8098 0.8841
Li 0.0000 0.0000 0.0000
Li 2.6568 -1.6341 1.4125
```

The space group is P6_3/mmc (194). The total energy comes out at -83.499 eV/cell. The value obtained for the density of states at the Fermi level is 0.0 states/eV per cell. Its volume is 25.6 Å³/atom. As for the magnetization: 0.0000 μB per atom.

=====

# 10
Compound: Ba2CaSiRu
Source: the Alexandria database
Functional: meta-GGA SCAN
Structure: PBEsol geometry

```
5
Lattice="-4.6504 2.2038 1.5540 -2.0537 -5.0226 0.9771 1.8525 0.2516 5.1869" Properties=species:S:1:pos:R:3 pbc="T T T"
Ru 0.0000 0.0000 0.0000
Ca -2.3252 1.1019 0.7770
Si -2.4258 -1.2836 3.8590
Ba 0.9263 0.1258 2.5935
Ba -1.0269 -2.5113 0.4886
```

The space group is P4/mmm (123). The total energy comes out at -131.834 eV/cell. The value obtained for the density of states at the Fermi level is 3.9 states/eV per cell. Its volume is 32.7 Å³/atom. As for the magnetization: 0.2079 μB per atom.

=====

# 11
Compound: LiTl2Cl
Source: the Alexandria database
Functional: meta-GGA SCAN
Structure: PBEsol geometry

```
4
Lattice="4.0570 0.0000 0.0000 0.0000 4.0639 0.0000 0.0000 0.0000 6.1724" Properties=species:S:1:pos:R:3 pbc="T T T"
Cl 2.0285 2.0319 0.0000
Li 2.0285 2.0319 3.0862
Tl 0.0000 0.0000 4.6384
Tl 0.0000 0.0000 1.5340
```

The space group is P4/mmm (123). The total energy comes out at -156.787 eV/cell. The value obtained for the density of states at the Fermi level is 1.9 states/eV per cell. Its volume is 25.4 Å³/atom. As for the magnetization: 0.0000 μB per atom.

=====

# 12
Compound: ReAsIr2
Source: the Alexandria database
Functional: meta-GGA SCAN
Structure: PBEsol geometry

```
4
Lattice="-0.5955 -3.3807 -1.7584 0.8648 -1.8532 3.2701 -3.8640 2.7281 0.2935" Properties=species:S:1:pos:R:3 pbc="T T T"
Re 0.1346 -2.6170 0.7558
As 0.0000 0.0000 0.0000
Ir -2.1624 -1.6348 -0.3546
Ir -1.4323 -0.8710 2.1597
```

The space group is I4/mmm (139). The value obtained for the density of states at the Fermi level is 2.2 states/eV per cell. The value obtained for the formation energy is 0.287 eV/atom. Its volume is 14.4 Å³/atom. As for the magnetization: 0.0000 μB per atom.

=====

# 13
Compound: RuRhBr3
Source: the Alexandria database
Functional: meta-GGA SCAN
Structure: PBEsol geometry

```
5
Lattice="4.9178 0.0000 0.0000 0.0000 4.9178 0.0000 0.0000 0.0000 4.9178" Properties=species:S:1:pos:R:3 pbc="T T T"
Ru 2.4589 2.4589 2.4589
Rh 0.0000 0.0000 0.0000
Br 0.0000 2.4589 0.0000
Br 0.0000 0.0000 2.4589
Br 2.4589 0.0000 0.0000
```

The space group is Pm-3m (221). The total energy comes out at -123.429 eV/cell. The value obtained for the density of states at the Fermi level is 7.0 states/eV per cell. Its volume is 23.8 Å³/atom. As for the magnetization: 0.6575 μB per atom.

=====

# 14
Compound: PmGdIn2
Source: the Alexandria database
Functional: meta-GGA SCAN
Structure: PBEsol geometry

```
4
Lattice="-3.9219 3.0218 -1.9136 -0.6445 0.5042 -5.2445 -4.1656 -2.2590 -2.3914" Properties=species:S:1:pos:R:3 pbc="T T T"
Gd 0.0000 0.0000 0.0000
In -2.1830 0.3168 -2.3874
In -6.5490 0.9503 -7.1621
Pm -4.3660 0.6335 -4.7747
```

The space group is Fm-3m (225). The value obtained for the density of states at the Fermi level is 1.9 states/eV per cell. The value obtained for the formation energy is -0.616 eV/atom. Its volume is 26.4 Å³/atom. As for the magnetization: 1.8428 μB per atom.

=====

# 15
Compound: AlNiPt2
Source: the Alexandria database
Functional: meta-GGA SCAN
Structure: PBEsol geometry

```
4
Lattice="-0.8280 -1.7220 -2.0963 4.0917 0.0018 -1.6175 0.0275 -3.4050 2.7863" Properties=species:S:1:pos:R:3 pbc="T T T"
Ni 1.6456 -2.5626 -0.4638
Al -0.4140 -0.8610 -1.0481
Pt 2.0458 0.0009 -0.8088
Pt 0.0137 -1.7025 1.3931
```

The space group is Cmmm (65). The value obtained for the density of states at the Fermi level is 2.2 states/eV per cell. The value obtained for the formation energy is -0.773 eV/atom. Its volume is 13.4 Å³/atom. As for the magnetization: 0.2266 μB per atom.

=====

# 16
Compound: BeAlIn2
Source: the Alexandria database
Functional: meta-GGA SCAN
Structure: PBEsol geometry

```
4
Lattice="3.0771 0.0000 0.0000 0.0000 3.0771 0.0000 0.0000 0.0000 7.8812" Properties=species:S:1:pos:R:3 pbc="T T T"
Be 1.5385 1.5385 3.9406
Al 1.5385 1.5385 0.0000
In 0.0000 0.0000 5.6674
In 0.0000 0.0000 2.2138
```

The space group is P4/mmm (123). The value obtained for the density of states at the Fermi level is 1.2 states/eV per cell. The value obtained for the formation energy is 0.340 eV/atom. Its volume is 18.7 Å³/atom. As for the magnetization: 0.0000 μB per atom.

=====

# 17
Compound: TaN2
Source: the Alexandria database
Functional: meta-GGA SCAN
Structure: PBEsol geometry

```
6
Lattice="-2.6787 -1.2958 -0.5672 1.8879 -1.2443 2.0159 -3.2324 4.2176 5.6303" Properties=species:S:1:pos:R:3 pbc="T T T"
Ta -1.9646 -0.2242 1.7014
Ta -2.0586 1.9017 5.3776
N -0.2919 0.3809 0.5085
N -2.9404 3.8367 5.1218
N -1.9081 2.4897 3.3236
N -1.3243 1.7279 2.3067
```

The space group is P6_3/mmc (194). The total energy comes out at -173.709 eV/cell. The value obtained for the density of states at the Fermi level is 2.5 states/eV per cell. Its volume is 10.3 Å³/atom. As for the magnetization: 0.1933 μB per atom.

=====

# 18
Compound: SiHgAs2Se
Source: the Alexandria database
Functional: meta-GGA SCAN
Structure: PBEsol geometry

```
5
Lattice="5.0424 0.0000 0.0000 0.0000 5.0424 0.0000 0.0000 0.0000 5.1707" Properties=species:S:1:pos:R:3 pbc="T T T"
As 0.0000 2.5212 0.0000
As 2.5212 0.0000 0.0000
Si 2.5212 2.5212 2.5853
Hg 0.0000 0.0000 0.0000
Se 0.0000 0.0000 2.5853
```

The space group is P4/mmm (123). The total energy comes out at -132.216 eV/cell. The value obtained for the density of states at the Fermi level is 3.5 states/eV per cell. Its volume is 26.3 Å³/atom. As for the magnetization: 0.2395 μB per atom.

=====

# 19
Compound: Li2Ti3ZnO8
Source: the Alexandria database
Functional: meta-GGA SCAN
Structure: PBEsol geometry

```
56
Lattice="8.3362 0.0000 0.0000 0.0000 8.3362 0.0000 0.0000 0.0000 8.3362" Properties=species:S:1:pos:R:3 pbc="T T T"
Li 0.0252 4.1429 4.1933
Li 1.0364 7.2997 3.1316
Li 3.1316 1.0364 7.2997
Li 4.1429 4.1933 0.0252
Li 4.1933 0.0252 4.1429
Li 5.2045 5.2045 5.2045
Li 7.2997 3.1316 1.0364
Li 8.3110 8.3110 8.3110
Ti 0.9963 5.2313 1.1315
Ti 1.0632 3.0366 7.3399
Ti 1.1315 0.9963 5.2313
Ti 3.0366 7.3399 1.0632
Ti 3.1049 5.2995 3.1718
Ti 3.1718 3.1049 5.2995
Ti 5.1644 7.2729 7.2047
Ti 5.2313 1.1315 0.9963
Ti 5.2995 3.1718 3.1049
Ti 7.2047 5.1644 7.2729
Ti 7.2729 7.2047 5.1644
Ti 7.3399 1.0632 3.0366
Zn 2.0579 6.2260 6.2782
Zn 2.1101 2.1101 2.1101
Zn 6.2260 6.2782 2.0579
Zn 6.2782 2.0579 6.2260
O 0.9089 1.0580 3.2458
O 0.9223 7.4273 5.2261
O 0.9303 5.0984 7.4058
O 1.0309 1.1849 7.1615
O 1.0580 3.2458 0.9089
O 1.1610 3.0071 5.3291
O 1.1746 5.1990 2.9832
O 1.1849 7.1615 1.0309
O 2.9832 1.1746 5.1990
O 2.9935 3.1372 7.1513
O 3.0071 5.3291 1.1610
O 3.1101 5.0904 5.0770
O 3.1372 7.1513 2.9935
O 3.2378 3.2378 3.2378
O 3.2458 0.9089 1.0580
O 3.2592 7.2781 7.4139
O 5.0770 3.1101 5.0904
O 5.0904 5.0770 3.1101
O 5.0984 7.4058 0.9303
O 5.1990 2.9832 1.1746
O 5.2261 0.9223 7.4273
O 5.3291 1.1610 3.0071
O 5.3427 7.3052 5.3530
O 5.3530 5.3427 7.3052
O 7.1513 2.9935 3.1372
O 7.1615 1.0309 1.1849
O 7.1752 7.1752 7.1752
O 7.2781 7.4139 3.2592
O 7.3052 5.3530 5.3427
O 7.4058 0.9303 5.0984
O 7.4139 3.2592 7.2781
O 7.4273 5.2261 0.9223
```

The space group is P2_13 (198). The total energy comes out at -628.366 eV/cell. The value obtained for the density of states at the Fermi level is 0.0 states/eV per cell. Its volume is 10.3 Å³/atom. As for the magnetization: 0.0000 μB per atom.

=====

# 20
Compound: InCuTc2
Source: the Alexandria database
Functional: meta-GGA SCAN
Structure: PBEsol geometry

```
4
Lattice="2.6979 -0.0122 0.0000 -0.6311 2.6231 0.0000 0.0000 0.0000 8.4176" Properties=species:S:1:pos:R:3 pbc="T T T"
Cu 1.0334 1.3054 4.2088
In 1.0334 1.3054 0.0000
Tc 0.0000 0.0000 2.2650
Tc 0.0000 0.0000 6.1526
```

The space group is Cmmm (65). The value obtained for the density of states at the Fermi level is 3.2 states/eV per cell. The value obtained for the formation energy is 0.510 eV/atom. Its volume is 14.9 Å³/atom. As for the magnetization: 0.0000 μB per atom.